Entry from Alexandria: crystalline LaAuS2 at its relaxed geometry (PBE).

Results
total magnetic moment	0.0	Bohr magnetons per cell
energy relative to the elements, uncorrected	-1.200	eV/atom
energy	-85.04	eV for the cell shown
density of states at the Fermi level	2.618	states/eV/cell
ΔE to the lowest computed polymorph	198	meV/atom

```
data_LaAuS2
_symmetry_space_group_name_H-M 'P n m a'
_symmetry_Int_Tables_number 62
_cell_length_a 5.5286
_cell_length_b 4.9852
_cell_length_c 15.0136
_cell_angle_alpha 90.00
_cell_angle_beta 90.00
_cell_angle_gamma 90.00
loop_
_symmetry_equiv_pos_as_xyz
'x,y,z'
'-x,-y,-z'
'-x+1/2,-y,z+1/2'
'x+1/2,y,-z+1/2'
'x+1/2,-y+1/2,-z+1/2'
'-x+1/2,y+1/2,z+1/2'
'-x,y+1/2,-z'
'x,-y+1/2,z'
loop_
_atom_site_label
_atom_site_fract_x
_atom_site_fract_y
_atom_site_fract_z
La1 0.2496 0.2500 0.0804
Au1 0.0029 0.2500 0.7502
S1 0.0020 0.7500 0.7502
S2 0.2498 0.2500 0.4899
```